[1]
Entry from Alexandria: a crystal of Y2Cu relaxed with PBEsol (meta-GGA SCAN).

a = 9.290 Å, b = 9.290 Å, c = 9.290 Å
α = 60.00°, β = 60.00°, γ = 60.00°
Sites, in units of the cell vectors:
Y 0.000 0.000 0.000
Y 0.000 0.000 0.500
Y 0.000 0.500 0.000
Y 0.188 0.188 0.562
Y 0.188 0.562 0.188
Y 0.188 0.562 0.562
Y 0.438 0.438 0.812
Y 0.438 0.812 0.438
Y 0.438 0.812 0.812
Y 0.500 0.000 0.000
Y 0.562 0.188 0.188
Y 0.562 0.188 0.562
Y 0.562 0.562 0.188
Y 0.812 0.438 0.438
Y 0.812 0.438 0.812
Y 0.812 0.812 0.438
Cu 0.161 0.780 0.780
Cu 0.220 0.220 0.220
Cu 0.220 0.220 0.839
Cu 0.220 0.839 0.220
Cu 0.780 0.161 0.780
Cu 0.780 0.780 0.161
Cu 0.780 0.780 0.780
Cu 0.839 0.220 0.220

## Properties
VASP energy: -23.776 eV per atom
ρ: 5.65 g/cm3
V: 23.63 A^3/atom
E_form: -0.1475 eV per atom
D(E_F): 3.12 states/eV/f.u.

[2]
Entry from Alexandria: a crystal of Y2Cu relaxed with PBEsol (meta-GGA SCAN).

a = 6.449 Å, b = 6.449 Å, c = 6.580 Å
α = 90.00°, β = 90.00°, γ = 147.55°
Sites, in units of the cell vectors:
Y 0.026 0.974 0.500
Y 0.291 0.709 0.673
Y 0.709 0.291 0.173
Y 0.974 0.026 0.000
Cu 0.383 0.617 0.272
Cu 0.617 0.383 0.772

## Properties
VASP energy: -23.801 eV per atom
ρ: 5.46 g/cm3
V: 24.48 A^3/atom
E_form: -0.1722 eV per atom
D(E_F): 2.91 states/eV/f.u.

[3]
Entry from Alexandria: a crystal of Y2Cu relaxed with PBEsol (meta-GGA SCAN).

a = 7.207 Å, b = 7.207 Å, c = 4.772 Å
α = 90.00°, β = 90.00°, γ = 120.00°
Sites, in units of the cell vectors:
Y 0.000 0.403 0.000
Y 0.000 0.733 0.500
Y 0.267 0.267 0.500
Y 0.403 0.000 0.000
Y 0.597 0.597 0.000
Y 0.733 0.000 0.500
Cu 0.000 0.000 0.000
Cu 0.333 0.667 0.500
Cu 0.667 0.333 0.500

## Properties
VASP energy: -23.804 eV per atom
ρ: 5.60 g/cm3
V: 23.86 A^3/atom
E_form: -0.1755 eV per atom
D(E_F): 1.93 states/eV/f.u.

[4]
Entry from Alexandria: a crystal of Y2Cu relaxed with PBEsol (meta-GGA SCAN).

a = 8.135 Å, b = 8.135 Å, c = 5.077 Å
α = 90.00°, β = 90.00°, γ = 155.16°
Sites, in units of the cell vectors:
Y 0.076 0.924 0.750
Y 0.217 0.783 0.250
Y 0.783 0.217 0.750
Y 0.924 0.076 0.250
Cu 0.426 0.574 0.750
Cu 0.574 0.426 0.250

## Properties
VASP energy: -23.783 eV per atom
ρ: 5.68 g/cm3
V: 23.53 A^3/atom
E_form: -0.1549 eV per atom
D(E_F): 2.31 states/eV/f.u.

[5]
Entry from Alexandria: a crystal of Y3ZnCu relaxed with PBEsol (meta-GGA SCAN).

a = 5.287 Å, b = 5.287 Å, c = 5.287 Å
α = 90.00°, β = 90.00°, γ = 90.00°
Sites, in units of the cell vectors:
Y 0.000 0.000 0.500
Y 0.000 0.500 0.000
Y 0.500 0.000 0.000
Zn 0.000 0.000 0.000
Cu 0.500 0.500 0.500

## Properties
VASP energy: -22.007 eV per atom
ρ: 4.45 g/cm3
V: 29.56 A^3/atom
E_form: 0.4415 eV per atom
D(E_F): 7.25 states/eV/f.u.

[6]
Entry from Alexandria: a crystal of YZr2Cu relaxed with PBEsol (meta-GGA SCAN).

a = 3.246 Å, b = 3.246 Å, c = 8.050 Å
α = 90.00°, β = 90.00°, γ = 90.00°
Sites, in units of the cell vectors:
Y 0.000 0.000 0.000
Zr 0.000 0.000 0.567
Zr 0.500 0.500 0.308
Cu 0.500 0.500 0.760

## Properties
VASP energy: -26.189 eV per atom
E above lowest polymorph: 0.000 eV per atom
ρ: 6.56 g/cm3
V: 21.21 A^3/atom
E_form: -0.0794 eV per atom
D(E_F): 4.00 states/eV/f.u.